VASP calculation (PBE-GGA) on Mg2TaIrSe after structural relaxation.

abc: 4.9505 4.9505 4.8205
angles: 90.00 90.00 90.00
Space group P4/mmm (No. 123)
Inequivalent atoms, fractional coordinates:
Mg: 0.0000 0.5000 0.0000 (multiplicity 2)
Ta: 0.0000 0.0000 0.5000 (multiplicity 1)
Ir: 0.0000 0.0000 0.0000 (multiplicity 1)
Se: 0.5000 0.5000 0.5000 (multiplicity 1)

Results
formation energy without anion corrections = 269 meV/atom
DFT total energy = -5.209 eV/atom